# SrBe2V GGA-PBE relaxed
# excess energy over the best structure of this formula in the dataset: 69 meV per atom
# energy of formation: 850 meV per atom
# crystal system: cubic
# M_tot: 0.65 μB per atom
data_SrBe2V
_cell_length_a 6.6144
_cell_length_b 6.6144
_cell_length_c 6.6144
_cell_angle_alpha 90.00
_cell_angle_beta 90.00
_cell_angle_gamma 90.00
_space_group_name_H-M_alt 'F m -3 m'
_space_group_IT_number 225
_space_group_name_Hall '-F 4 2 3'
loop_
_atom_site_label
_atom_site_fract_x
_atom_site_fract_y
_atom_site_fract_z
_atom_site_occupancy
Sr1 0.0000 0.0000 0.0000 1
Be1 0.2500 0.2500 0.2500 1
V1 0.0000 0.0000 0.5000 1